[1]
DFT (PBE) results for an optimized crystal structure of BaCu4P4.

Properties
* VASP energy: -4.61 eV/atom
* crystal system: tetragonal
* mass density: 5.32 g/cm³
* SG: P4_2/n (86)
* energy relative to the elements: -171 meV per atom

Cell lengths 4.840, 8.153, 8.153 Å; angles 90.00, 90.00, 90.00 degrees
Positions (direct):
Ba (0.000, 0.000, 0.000)
Ba (0.500, 0.500, 0.500)
Cu (0.382, 0.313, 0.875)
Cu (0.882, 0.625, 0.813)
Cu (0.382, 0.687, 0.125)
Cu (0.118, 0.187, 0.625)
Cu (0.618, 0.875, 0.687)
Cu (0.118, 0.813, 0.375)
Cu (0.882, 0.375, 0.187)
Cu (0.618, 0.125, 0.313)
P (0.615, 0.841, 0.328)
P (0.615, 0.159, 0.672)
P (0.115, 0.828, 0.659)
P (0.885, 0.341, 0.828)
P (0.885, 0.659, 0.172)
P (0.385, 0.328, 0.159)
P (0.385, 0.672, 0.841)
P (0.115, 0.172, 0.341)


[2]
DFT (PBE) results for an optimized crystal structure of Ba2CuP.

Properties
* VASP energy: -3.84 eV/atom
* crystal system: orthorhombic
* mass density: 4.09 g/cm³
* SG: Imm2 (44)
* energy relative to the elements: -502 meV per atom

Cell lengths 8.742, 8.742, 8.742 Å; angles 152.64, 150.76, 40.48 degrees
Positions (direct):
Ba (0.004, 0.004, 0.000)
Ba (0.245, 0.745, 0.500)
Cu (0.597, 0.597, 0.000)
P (0.654, 0.154, 0.500)